Record 1
## Ca2Ag3Au (PBE)

Data for Ca2Ag3Au after structural relaxation.

a b c (Å): 3.6058 4.7602 8.2745
angles (deg): 90.00 90.00 90.00
With the nearest neighbours (Å) after each atom.
Space group Pmm2 (No. 25)
Symmetry-distinct sites (fractional):
1 Ca 0.0000 0.0000 0.0000 x1  2 Au 3.23, 10 Ag 3.24-3.35, 2 Ca 3.61
2 Ca 0.0000 0.5000 0.4789 x1  8 Ag 3.25-3.36, 4 Au 3.25, 2 Ca 3.61
3 Ag 0.5000 0.0000 0.6585 x1  2 Ag 2.73, 1 Au 2.77
4 Ag 0.5000 0.5000 0.1527 x1  1 Ag 2.74, 2 Au 2.77
5 Ag 0.5000 0.5000 0.8212 x1  3 Ag 2.73-2.74
6 Au 0.5000 0.0000 0.3240 x1  3 Ag 2.77

Summary:
DFT formation energy   -0.38 eV/atom
Offset from the most stable computed form   4 meV per atom

***

Record 2
## BaScTe2 (PBE)

Data for BaScTe2 after structural relaxation.

a b c (Å): 4.3902 4.3902 23.9201
angles (deg): 90.00 90.00 120.00
With the nearest neighbours (Å) after each atom.
Space group R3m (No. 160, hexagonal axes)
Symmetry-distinct sites (fractional):
1 Ba 0.0000 0.0000 0.0000 x3  6 Te 3.43-3.52
2 Sc 0.0000 0.0000 0.8287 x3  6 Te 2.98-3.03
3 Te 0.0000 0.0000 0.2315 x3  3 Sc 3.03
4 Te 0.0000 0.0000 0.4302 x3  3 Sc 2.98

Summary:
ΔE_f (raw)   -1361 meV per atom
Offset from the most stable computed form   27 meV per atom

***

Record 3
## Na3Mg2P5O16 (PBE)

Data for Na3Mg2P5O16 after structural relaxation.

a b c (Å): 5.2444 6.9681 18.8279
angles (deg): 90.00 90.30 90.00
With the nearest neighbours (Å) after each atom.
Space group P2/c (No. 13)
Symmetry-distinct sites (fractional):
1 Na 0.0000 0.0264 0.2500 x2  4 O 2.37-2.51
2 Na 0.2491 0.3493 0.4665 x4  5 O 2.35-2.48
3 Mg 0.2320 0.1781 0.9081 x4  6 O 2.06-2.22
4 P 0.2585 0.4743 0.6293 x4  4 O 1.51-1.61
5 P 0.2687 0.1216 0.0832 x4  4 O 1.52-1.68
6 P 0.5000 0.2622 0.7500 x2  4 O 1.50-1.61
7 O 0.0127 0.4299 0.8915 x4  1 P 1.51
8 O 0.0920 0.0193 0.6203 x4  1 P 1.52
9 O 0.1567 0.2138 0.0160 x4  1 P 1.53
10 O 0.2878 0.3006 0.1427 x4  2 P 1.60-1.68
11 O 0.3084 0.4059 0.7098 x4  2 P 1.61
12 O 0.3379 0.1522 0.8012 x4  1 P 1.50
13 O 0.4552 0.0604 0.4257 x4  1 P 1.52
14 O 0.4640 0.3981 0.5804 x4  1 P 1.52

Summary:
ΔE_f (raw)   -2369 meV per atom

***

Record 4
## Pr3Nd5Y3 (PBE)

Data for Pr3Nd5Y3 after structural relaxation.

a b c (Å): 11.4882 11.4882 3.4834
angles (deg): 90.00 90.00 120.00
With the nearest neighbours (Å) after each atom.
Space group P-62m (No. 189)
Symmetry-distinct sites (fractional):
1 Pr 0.0000 0.5952 0.0000 x3  2 Y 3.31, 2 Nd 3.43, 2 Pr 3.48
2 Nd 0.0000 0.3376 0.5000 x3  2 Y 3.36, 2 Pr 3.43, 2 Nd 3.48
3 Nd 0.3333 0.6667 0.5000 x2  5 Nd 3.48-3.81
4 Y 0.0000 0.8399 0.5000 x3  4 Y 3.19-3.48, 2 Pr 3.31, 2 Nd 3.36

Summary:
DFT formation energy   0.32 eV/atom
Offset from the most stable computed form   0 meV per atom

***

| no. | total moment (μB per atom) | total DFT energy (no corrections) (eV/atom) | DOS at the Fermi energy (states/eV per atom) |
| --- | --- | --- | --- |
| 1 | 0.00 | -3.02 | 0.422 |
| 2 | 0.00 | -5.00 | 0.773 |
| 3 | 0.00 | -6.73 | 0.000 |
| 4 | 0.00 | -4.91 | 1.648 |